LiY2Al PBE-GGA relaxed; DFT total energy = -19.44 eV for the cell shown; DOS at the Fermi energy = 3.9 states/eV/f.u.; calculated density = 3.6 g/cm3; ΔH_f (0 K) = -83 kJ/mol of formula units
1.0
5.122 0.000 0.000
0.000 5.122 0.000
0.000 0.000 3.723
Li Y Al
1 2 1
direct
0.000 0.000 0.000
0.000 0.500 0.500
0.500 0.000 0.500
0.500 0.500 0.000